The following is a SCAN calculation of Sc2HgSe at its PBEsol-relaxed geometry, from the Alexandria database.

## Properties
- N(E_F): 0.537 states/eV/atom
- Energy: -30.354 eV per atom
- Polymorph energy (0 for the lowest one): 0 meV/atom
- Formation energy without anion corrections: -1.17 eV per atom

Cell: 3.669 3.669 7.550 Å, 75.94 75.94 60.00°
Fractional coordinates of all 4 atoms:
Se: 0.000 0.000 0.000
Sc: 0.741 0.741 0.777
Hg: 0.500 0.500 0.500
Sc: 0.259 0.259 0.223